(1)
First-principles (PBE) data for a relaxed structure of YHgF5, as listed in the Alexandria database.

Computed properties:
Its density of states at the Fermi level is 0.00 states/eV per cell. For the magnetic moment, the calculation gives 0.0 Bohr magnetons per cell. The formation energy from raw total energies comes out at -2.912 eV/atom.

Lattice parameters (Å, degrees): 5.9878 5.9878 7.6881 74.35 74.35 78.70
Fractional coordinates of all 14 atoms:
Y 0.5439 0.4561 0.7500
Y 0.4561 0.5439 0.2500
Hg 0.0000 0.0000 0.0000
Hg 0.0000 0.0000 0.5000
F 0.2899 0.2096 0.8523
F 0.3458 0.6728 0.5389
F 0.2096 0.2899 0.3523
F 0.8397 0.1603 0.7500
F 0.3272 0.6542 0.9611
F 0.6728 0.3458 0.0389
F 0.1603 0.8397 0.2500
F 0.7904 0.7101 0.6477
F 0.6542 0.3272 0.4611
F 0.7101 0.7904 0.1477

(2)
First-principles (PBE) data for a relaxed structure of ZnHgF, as listed in the Alexandria database.

Computed properties:
Its density of states at the Fermi level is 0.66 states/eV per cell. For the magnetic moment, the calculation gives 0.0 Bohr magnetons per cell. The formation energy from raw total energies comes out at -0.929 eV/atom.

Lattice parameters (Å, degrees): 3.0727 3.0714 13.8257 90.00 90.00 120.01
Fractional coordinates of all 6 atoms:
Zn 0.5531 0.1063 0.0000
Zn 0.3358 0.6716 0.5000
F 0.6689 0.3378 0.4132
F 0.6689 0.3378 0.5868
Hg 0.2199 0.4398 0.8171
Hg 0.2199 0.4398 0.1829

(3)
First-principles (PBE) data for a relaxed structure of Zn3HgF, as listed in the Alexandria database.

Computed properties:
The calculation puts the polymorph energy (0 for the lowest one) at 0.0 kJ per mole of atoms. Its density of states at the Fermi level is 2.06 states/eV per cell. For the magnetic moment, the calculation gives 0.0 Bohr magnetons per cell. The formation energy from raw total energies comes out at -0.169 eV/atom.

Lattice parameters (Å, degrees): 4.5097 4.5097 4.5097 90.00 90.00 90.00
Fractional coordinates of all 5 atoms:
Zn 0.0000 0.5000 0.0000
Zn 0.0000 0.0000 0.5000
Zn 0.5000 0.0000 0.0000
Hg 0.5000 0.5000 0.5000
F 0.0000 0.0000 0.0000

(4)
First-principles (PBE) data for a relaxed structure of ZnHgF3, as listed in the Alexandria database.

Computed properties:
The calculation puts the polymorph energy (0 for the lowest one) at 0.2 kJ per mole of atoms. Its density of states at the Fermi level is 1.73 states/eV per cell. For the magnetic moment, the calculation gives 0.0 Bohr magnetons per cell. The formation energy from raw total energies comes out at -1.798 eV/atom.

Lattice parameters (Å, degrees): 3.3084 7.5844 10.2956 130.34 90.00 102.60
Fractional coordinates of all 10 atoms:
Zn 0.3493 0.6987 0.6747
Zn 0.6507 0.3013 0.3253
Hg 0.1754 0.3508 0.0001
Hg 0.8246 0.6492 0.9999
F 0.0374 0.0748 0.2463
F 0.9626 0.9252 0.7537
F 0.6285 0.2570 0.1120
F 0.3715 0.7430 0.8880
F 0.7256 0.4511 0.5769
F 0.2744 0.5489 0.4231

(5)
First-principles (PBE) data for a relaxed structure of ZnHg2F, as listed in the Alexandria database.

Computed properties:
The calculation puts the polymorph energy (0 for the lowest one) at 5.7 kJ per mole of atoms. Its density of states at the Fermi level is 0.84 states/eV per cell. For the magnetic moment, the calculation gives 0.0 Bohr magnetons per cell. The formation energy from raw total energies comes out at -0.439 eV/atom.

Lattice parameters (Å, degrees): 4.7688 4.7688 4.7688 60.00 60.00 60.00
Fractional coordinates of all 4 atoms:
Zn 0.5000 0.5000 0.5000
Hg 0.2500 0.2500 0.2500
Hg 0.7500 0.7500 0.7500
F 0.0000 0.0000 0.0000

(6)
First-principles (PBE) data for a relaxed structure of ZnHg3F, as listed in the Alexandria database.

Computed properties:
The calculation puts the polymorph energy (0 for the lowest one) at 19.6 kJ per mole of atoms. Its density of states at the Fermi level is 3.38 states/eV per cell. For the magnetic moment, the calculation gives 0.0 Bohr magnetons per cell. The formation energy from raw total energies comes out at -0.035 eV/atom.

Lattice parameters (Å, degrees): 5.1766 5.1766 5.1766 90.00 90.00 90.00
Fractional coordinates of all 5 atoms:
Zn 0.5000 0.5000 0.5000
Hg 0.0000 0.5000 0.0000
Hg 0.0000 0.0000 0.5000
Hg 0.5000 0.0000 0.0000
F 0.0000 0.0000 0.0000

(7)
First-principles (PBE) data for a relaxed structure of Zn2HgF8, as listed in the Alexandria database.

Computed properties:
Its density of states at the Fermi level is 0.14 states/eV per cell. For the magnetic moment, the calculation gives 0.0 Bohr magnetons per cell. The formation energy from raw total energies comes out at -1.534 eV/atom.

Lattice parameters (Å, degrees): 4.9549 5.6283 7.5592 101.05 90.00 116.12
Fractional coordinates of all 11 atoms:
Zn 0.8624 0.7248 0.5452
Zn 0.1376 0.2752 0.4548
Hg 0.0000 0.0000 0.0000
F 0.8693 0.2532 0.1455
F 0.3840 0.2532 0.1455
F 0.1307 0.7468 0.8545
F 0.3264 0.6528 0.5054
F 0.6160 0.7468 0.8545
F 0.9492 0.8983 0.3276
F 0.0508 0.1017 0.6724
F 0.6736 0.3472 0.4946

(8)
First-principles (PBE) data for a relaxed structure of Zn2HgF, as listed in the Alexandria database.

Computed properties:
The calculation puts the polymorph energy (0 for the lowest one) at 0.0 kJ per mole of atoms. Its density of states at the Fermi level is 1.65 states/eV per cell. For the magnetic moment, the calculation gives 0.0 Bohr magnetons per cell. The formation energy from raw total energies comes out at -0.550 eV/atom.

Lattice parameters (Å, degrees): 6.9386 6.9386 5.7058 52.55 52.55 90.00
Fractional coordinates of all 8 atoms:
Zn 0.5728 0.1250 0.2500
Zn 0.1772 0.6250 0.2500
Zn 0.3750 0.4272 0.7500
Zn 0.8750 0.8228 0.7500
Hg 0.0000 0.0000 0.0000
Hg 0.7500 0.2500 0.5000
F 0.5000 0.5000 0.0000
F 0.2500 0.7500 0.5000

(9)
First-principles (PBE) data for a relaxed structure of ZnHgF3, as listed in the Alexandria database.

Computed properties:
The calculation puts the polymorph energy (0 for the lowest one) at 12.8 kJ per mole of atoms. Its density of states at the Fermi level is 2.99 states/eV per cell. For the magnetic moment, the calculation gives 0.0 Bohr magnetons per cell. The formation energy from raw total energies comes out at -1.667 eV/atom.

Lattice parameters (Å, degrees): 4.1320 4.1320 4.1320 90.00 90.00 90.00
Fractional coordinates of all 5 atoms:
Zn 0.0000 0.0000 0.0000
Hg 0.5000 0.5000 0.5000
F 0.0000 0.5000 0.0000
F 0.0000 0.0000 0.5000
F 0.5000 0.0000 0.0000

(10)
First-principles (PBE) data for a relaxed structure of ZnHgF3, as listed in the Alexandria database.

Computed properties:
The calculation puts the polymorph energy (0 for the lowest one) at 76.8 kJ per mole of atoms. Its density of states at the Fermi level is 2.24 states/eV per cell. For the magnetic moment, the calculation gives 0.9 Bohr magnetons per cell. The formation energy from raw total energies comes out at -1.004 eV/atom.

Lattice parameters (Å, degrees): 4.5421 4.5421 4.5421 90.00 90.00 90.00
Fractional coordinates of all 5 atoms:
Zn 0.5000 0.5000 0.5000
Hg 0.0000 0.0000 0.0000
F 0.0000 0.5000 0.0000
F 0.0000 0.0000 0.5000
F 0.5000 0.0000 0.0000

(11)
First-principles (PBE) data for a relaxed structure of ZnHg2F, as listed in the Alexandria database.

Computed properties:
The calculation puts the polymorph energy (0 for the lowest one) at 0.0 kJ per mole of atoms. Its density of states at the Fermi level is 1.87 states/eV per cell. For the magnetic moment, the calculation gives 0.0 Bohr magnetons per cell. The formation energy from raw total energies comes out at -0.498 eV/atom.

Lattice parameters (Å, degrees): 7.3784 7.3784 6.0088 52.12 52.12 90.00
Fractional coordinates of all 8 atoms:
Zn 0.0000 0.0000 0.0000
Zn 0.7500 0.2500 0.5000
Hg 0.6164 0.1250 0.2500
Hg 0.1336 0.6250 0.2500
Hg 0.3750 0.3836 0.7500
Hg 0.8750 0.8664 0.7500
F 0.5000 0.5000 0.0000
F 0.2500 0.7500 0.5000

(12)
First-principles (PBE) data for a relaxed structure of Zn4HgF8, as listed in the Alexandria database.

Computed properties:
For the magnetic moment, the calculation gives 0.0 Bohr magnetons per cell. The formation energy from raw total energies comes out at -1.925 eV/atom.

Lattice parameters (Å, degrees): 6.6517 6.6517 6.6517 60.00 60.00 60.00
Fractional coordinates of all 13 atoms:
Zn 0.8797 0.3734 0.3734
Zn 0.3734 0.8797 0.3734
Zn 0.3734 0.3734 0.8797
Zn 0.3734 0.3734 0.3734
Hg 0.7500 0.7500 0.7500
F 0.5522 0.1493 0.1493
F 0.1493 0.5522 0.1493
F 0.1493 0.1493 0.5522
F 0.1493 0.1493 0.1493
F 0.2134 0.5955 0.5955
F 0.5956 0.2134 0.5955
F 0.5956 0.5955 0.2134
F 0.5956 0.5955 0.5955